1.
Computed, not measured: a geometry-optimized SmPuAg2O6 structure at the GGA-PBE level of DFT.

Values from the calculation:
Magnetization in μB/atom: 0.13
Uncorrected formation energy in eV/f.u.: -17.5

POSCAR file:
```
SmPuAg2O6
1.0
6.054 0.000 0.000
0.000 6.054 0.000
0.000 0.000 4.398
Sm Pu Ag O
1 1 2 6
Direct
0.000 0.000 0.000
0.500 0.500 0.041
0.000 0.500 0.424
0.500 0.000 0.424
0.000 0.000 0.506
0.272 0.272 0.050
0.272 0.728 0.050
0.500 0.500 0.542
0.728 0.272 0.050
0.728 0.728 0.050
```



2.
Computed, not measured: a geometry-optimized PuAgSnO6 structure at the GGA-PBE level of DFT.

Values from the calculation:
Magnetization in μB/atom: 0.10
Uncorrected formation energy in eV/f.u.: -13.8

POSCAR file:
```
PuAgSnO6
1.0
5.490 0.000 0.000
-2.745 4.754 0.000
0.000 0.000 10.025
Pu Ag Sn O
2 2 2 12
Direct
0.333 0.667 0.250
0.667 0.333 0.750
0.000 0.000 0.000
0.000 0.000 0.500
0.333 0.667 0.750
0.667 0.333 0.250
0.009 0.366 0.139
0.009 0.643 0.361
0.357 0.366 0.361
0.357 0.991 0.139
0.366 0.009 0.639
0.366 0.357 0.861
0.634 0.643 0.139
0.634 0.991 0.361
0.643 0.009 0.861
0.643 0.634 0.639
0.991 0.357 0.639
0.991 0.634 0.861
```



3.
Computed, not measured: a geometry-optimized SrPuAg2O8 structure at the GGA-PBE level of DFT.

Values from the calculation:
Magnetization in μB/atom: 0.00
Uncorrected formation energy in eV/f.u.: -12.6

POSCAR file:
```
SrPuAg2O8
1.0
-3.602 3.602 3.680
3.602 -3.602 3.680
3.602 3.602 -3.680
Sr Pu Ag O
1 1 2 8
Direct
0.000 0.000 0.000
0.750 0.250 0.500
0.250 0.750 0.500
0.500 0.500 0.000
0.034 0.374 0.339
0.034 0.695 0.661
0.049 0.282 0.767
0.305 0.966 0.339
0.515 0.282 0.233
0.626 0.966 0.661
0.718 0.485 0.767
0.718 0.951 0.233
```



4.
Computed, not measured: a geometry-optimized Sr3PuAg2O8 structure at the GGA-PBE level of DFT.

Values from the calculation:
Magnetization in μB/atom: 0.15
Uncorrected formation energy in eV/f.u.: -25.6

POSCAR file:
```
Sr3PuAg2O8
1.0
5.750 0.000 0.000
-2.875 4.980 0.000
0.000 0.000 8.117
Sr Pu Ag O
3 1 2 8
Direct
0.000 0.000 0.000
0.333 0.667 0.627
0.667 0.333 0.373
0.000 0.000 0.500
0.333 0.667 0.161
0.667 0.333 0.839
0.164 0.328 0.357
0.164 0.836 0.357
0.328 0.164 0.643
0.333 0.667 0.912
0.667 0.333 0.088
0.672 0.836 0.357
0.836 0.164 0.643
0.836 0.672 0.643
```



5.
Computed, not measured: a geometry-optimized SrPuAgO5 structure at the GGA-PBE level of DFT.

Values from the calculation:
Magnetization in μB/atom: 0.12
Uncorrected formation energy in eV/f.u.: -17.0

POSCAR file:
```
SrPuAgO5
1.0
3.887 -4.869 0.000
3.887 4.869 0.000
-3.180 0.000 7.137
Sr Pu Ag O
2 2 2 10
Direct
0.064 0.936 0.750
0.936 0.064 0.250
0.000 0.500 0.000
0.500 0.000 0.500
0.488 0.512 0.750
0.512 0.488 0.250
0.173 0.265 0.054
0.191 0.612 0.869
0.207 0.793 0.250
0.265 0.173 0.554
0.388 0.809 0.631
0.612 0.191 0.369
0.735 0.827 0.446
0.793 0.207 0.750
0.809 0.388 0.131
0.827 0.735 0.946
```



6.
Computed, not measured: a geometry-optimized SrPuAgO4 structure at the GGA-PBE level of DFT.

Values from the calculation:
Magnetization in μB/atom: 0.43
Uncorrected formation energy in eV/f.u.: -15.3

POSCAR file:
```
SrPuAgO4
1.0
-3.462 3.591 5.033
3.462 -3.591 5.033
3.462 3.591 -5.033
Sr Pu Ag O
2 2 2 8
Direct
0.000 0.000 0.000
0.500 0.000 0.500
0.500 0.000 0.000
0.500 0.500 0.500
0.136 0.386 0.750
0.864 0.614 0.250
0.298 0.288 0.490
0.298 0.807 0.010
0.299 0.246 0.053
0.307 0.754 0.553
0.693 0.246 0.447
0.701 0.754 0.947
0.702 0.193 0.990
0.702 0.712 0.510
```